This record from Alexandria describes a geometry-optimized CaInI2 structure. The functional is GGA-PBE.

a = 10.646 Å, b = 10.646 Å, c = 10.646 Å
α = 25.44°, β = 25.44°, γ = 25.44°
Fractional coordinates of all 4 atoms:
1 Ca 0.000 0.000 0.000
2 In 0.500 0.500 0.500
3 I 0.097 0.097 0.097
4 I 0.903 0.903 0.903

ΔE_f (raw), eV per atom: -0.579
ΔE to the lowest computed polymorph, eV/atom: 0.213
SG: No. 166
D(E_F), states/eV/atom: 0.251
Calculated density, g/cm3: 3.5

=====

This record from Alexandria describes a geometry-optimized ErNpP2Rh5 structure. The functional is GGA-PBE.

a = 3.991 Å, b = 3.991 Å, c = 10.796 Å
α = 90.00°, β = 90.00°, γ = 90.00°
Fractional coordinates of all 9 atoms:
1 Er 0.000 0.000 0.000
2 Np 0.500 0.500 0.500
3 P 0.500 0.500 0.208
4 P 0.500 0.500 0.792
5 Rh 0.000 0.500 0.314
6 Rh 0.000 0.500 0.686
7 Rh 0.500 0.000 0.314
8 Rh 0.500 0.000 0.686
9 Rh 0.500 0.500 0.000

SG: No. 123
Energy of formation from the pure elements, meV/atom: -464
D(E_F), states/eV/atom: 1.152
Calculated density, g/cm3: 9.5

=====

This record from Alexandria describes a geometry-optimized BaCaCl2 structure. The functional is GGA-PBE.

a = 4.269 Å, b = 4.269 Å, c = 7.964 Å
α = 105.60°, β = 105.60°, γ = 60.13°
Fractional coordinates of all 4 atoms:
1 Ba 0.000 0.000 0.000
2 Ca 0.500 0.500 0.500
3 Cl 0.227 0.227 0.682
4 Cl 0.773 0.773 0.318

ΔE_f (raw), eV per atom: -1.640
ΔE to the lowest computed polymorph, eV/atom: 0.055
SG: No. 12
D(E_F), states/eV/atom: 0.498
Calculated density, g/cm3: 3.4

=====

This record from Alexandria describes a geometry-optimized Nb3VRu structure. The functional is GGA-PBE.

a = 7.783 Å, b = 7.783 Å, c = 6.323 Å
α = 92.52°, β = 92.52°, γ = 62.82°
Fractional coordinates of all 20 atoms:
1 Nb 0.059 0.257 0.044
2 Nb 0.180 0.695 0.583
3 Nb 0.257 0.059 0.544
4 Nb 0.300 0.402 0.942
5 Nb 0.305 0.820 0.917
6 Nb 0.402 0.300 0.442
7 Nb 0.598 0.700 0.558
8 Nb 0.695 0.180 0.083
9 Nb 0.700 0.598 0.058
10 Nb 0.743 0.941 0.456
11 Nb 0.820 0.305 0.417
12 Nb 0.941 0.743 0.956
13 V 0.009 0.560 0.325
14 V 0.440 0.991 0.175
15 V 0.560 0.009 0.825
16 V 0.991 0.440 0.675
17 Ru 0.068 0.932 0.250
18 Ru 0.414 0.586 0.250
19 Ru 0.586 0.414 0.750
20 Ru 0.932 0.068 0.750

ΔE to the lowest computed polymorph, eV/atom: 0.286
SG: No. 15
Energy of formation from the pure elements, meV/atom: 134
D(E_F), states/eV/atom: 1.110
Calculated density, g/cm3: 8.4

=====

This record from Alexandria describes a geometry-optimized SbH2I structure. The functional is GGA-PBE.

a = 4.277 Å, b = 6.290 Å, c = 7.902 Å
α = 94.64°, β = 90.17°, γ = 90.09°
Fractional coordinates of all 8 atoms:
1 Sb 0.000 0.000 0.000
2 Sb 0.499 0.732 0.845
3 H 0.000 0.156 0.827
4 H 0.004 0.495 0.564
5 H 0.498 0.777 0.355
6 H 0.994 0.468 0.470
7 I 0.495 0.997 0.497
8 I 0.501 0.494 0.147

ΔE to the lowest computed polymorph, eV/atom: 0.100
SG: No. 1
D(E_F), states/eV/atom: 0.000
Calculated density, g/cm3: 3.9

=====

This record from Alexandria describes a geometry-optimized K3Tl2 structure. The functional is GGA-PBE.

a = 6.010 Å, b = 6.010 Å, c = 7.387 Å
α = 90.00°, β = 90.00°, γ = 120.00°
Fractional coordinates of all 5 atoms:
1 K 0.000 0.000 0.000
2 K 0.333 0.667 0.365
3 K 0.667 0.333 0.635
4 Tl 0.333 0.667 0.897
5 Tl 0.667 0.333 0.103

ΔE to the lowest computed polymorph, eV/atom: 0.032
SG: No. 164
Energy of formation from the pure elements, meV/atom: -13
D(E_F), states/eV/atom: 1.028
Calculated density, g/cm3: 3.8

=====

This record from Alexandria describes a geometry-optimized Tm5Ga2C structure. The functional is GGA-PBE.

a = 8.000 Å, b = 8.000 Å, c = 11.418 Å
α = 90.00°, β = 90.00°, γ = 143.79°
Fractional coordinates of all 16 atoms:
1 Tm 0.082 0.918 0.603
2 Tm 0.082 0.918 0.897
3 Tm 0.298 0.702 0.250
4 Tm 0.304 0.696 0.590
5 Tm 0.304 0.696 0.910
6 Tm 0.696 0.304 0.090
7 Tm 0.696 0.304 0.410
8 Tm 0.702 0.298 0.750
9 Tm 0.918 0.082 0.103
10 Tm 0.918 0.082 0.397
11 Ga 0.109 0.891 0.142
12 Ga 0.109 0.891 0.358
13 Ga 0.891 0.109 0.642
14 Ga 0.891 0.109 0.858
15 C 0.191 0.809 0.750
16 C 0.809 0.191 0.250

SG: No. 63
Energy of formation from the pure elements, meV/atom: -93
D(E_F), states/eV/atom: 0.935
Calculated density, g/cm3: 7.7

=====

This record from Alexandria describes a geometry-optimized ErPaMn structure. The functional is GGA-PBE.

a = 6.095 Å, b = 6.095 Å, c = 6.095 Å
α = 148.10°, β = 148.10°, γ = 45.73°
Fractional coordinates of all 3 atoms:
1 Er 0.000 0.000 0.000
2 Pa 0.292 0.292 0.000
3 Mn 0.688 0.688 0.000

SG: No. 107
Energy of formation from the pure elements, meV/atom: 52
D(E_F), states/eV/atom: 1.187
Calculated density, g/cm3: 11.9

=====

This record from Alexandria describes a geometry-optimized SbSeIN2 structure. The functional is GGA-PBE.

a = 4.025 Å, b = 4.025 Å, c = 7.210 Å
α = 90.00°, β = 90.00°, γ = 90.00°
Fractional coordinates of all 5 atoms:
1 Sb 0.000 0.000 0.000
2 Se 0.500 0.500 0.000
3 I 0.500 0.500 0.500
4 N 0.000 0.500 0.500
5 N 0.500 0.000 0.500

ΔE_f (raw), eV per atom: 1.707
ΔE to the lowest computed polymorph, eV/atom: 0.454
SG: No. 123
D(E_F), states/eV/atom: 0.809
Calculated density, g/cm3: 5.1

=====

This record from Alexandria describes a geometry-optimized NaSr2Se2O6 structure. The functional is GGA-PBE.

a = 6.944 Å, b = 6.944 Å, c = 6.944 Å
α = 47.42°, β = 47.42°, γ = 47.42°
Fractional coordinates of all 11 atoms:
1 Na 0.000 0.000 0.000
2 Sr 0.206 0.206 0.206
3 Sr 0.794 0.794 0.794
4 Se 0.386 0.386 0.386
5 Se 0.614 0.614 0.614
6 O 0.247 0.734 0.734
7 O 0.266 0.266 0.753
8 O 0.266 0.753 0.266
9 O 0.734 0.247 0.734
10 O 0.734 0.734 0.247
11 O 0.753 0.266 0.266

ΔE_f (raw), eV per atom: -1.607
SG: No. 166
D(E_F), states/eV/atom: 0.352
Calculated density, g/cm3: 4.5

=====

This record from Alexandria describes a geometry-optimized Dy12Tm5Sc structure. The functional is GGA-PBE.

a = 10.302 Å, b = 10.302 Å, c = 5.794 Å
α = 90.02°, β = 90.02°, γ = 115.38°
Fractional coordinates of all 18 atoms:
1 Dy 0.004 0.323 0.002
2 Dy 0.156 0.156 0.499
3 Dy 0.171 0.497 0.502
4 Dy 0.323 0.004 0.002
5 Dy 0.342 0.342 0.999
6 Dy 0.497 0.171 0.502
7 Dy 0.503 0.829 0.498
8 Dy 0.658 0.658 0.001
9 Dy 0.677 0.996 0.998
10 Dy 0.829 0.503 0.498
11 Dy 0.844 0.844 0.501
12 Dy 0.996 0.677 0.998
13 Tm 0.171 0.829 0.500
14 Tm 0.328 0.672 0.000
15 Tm 0.500 0.500 0.500
16 Tm 0.672 0.328 0.000
17 Tm 0.829 0.171 0.500
18 Sc 0.000 0.000 0.000

SG: No. 12
Energy of formation from the pure elements, meV/atom: 125
D(E_F), states/eV/atom: 2.053
Calculated density, g/cm3: 8.5

=====

This record from Alexandria describes a geometry-optimized La2TbAu structure. The functional is GGA-PBE.

a = 7.262 Å, b = 10.415 Å, c = 6.742 Å
α = 90.00°, β = 90.00°, γ = 90.00°
Fractional coordinates of all 16 atoms:
1 La 0.198 0.055 0.177
2 La 0.198 0.445 0.177
3 La 0.302 0.555 0.677
4 La 0.302 0.945 0.677
5 La 0.698 0.055 0.323
6 La 0.698 0.445 0.323
7 La 0.802 0.555 0.823
8 La 0.802 0.945 0.823
9 Tb 0.024 0.250 0.640
10 Tb 0.476 0.750 0.140
11 Tb 0.524 0.250 0.860
12 Tb 0.976 0.750 0.360
13 Au 0.102 0.750 0.946
14 Au 0.398 0.250 0.446
15 Au 0.602 0.750 0.554
16 Au 0.898 0.250 0.054

ΔE to the lowest computed polymorph, eV/atom: 0.000
SG: No. 62
Energy of formation from the pure elements, meV/atom: -399
D(E_F), states/eV/atom: 1.067
Calculated density, g/cm3: 8.3